## w
First-principles (SCAN) data for a PBEsol-optimized structure of Li2TiV2O6, as listed in the Alexandria database.

a b c (Å): 6.7494 6.7494 5.8562
angles (deg): 109.01 109.01 24.30
Last column: nearest neighbours and their distance in Å.
Positions (direct):
Li 0.1488 0.1488 0.3128  5 O 2.02-2.19
Li 0.8512 0.8512 0.6872  5 O 2.02-2.19
Ti 0.5000 0.5000 0.5000  6 O 1.93-1.98
V 0.1775 0.1775 0.8642  6 O 1.95-2.08
V 0.8225 0.8225 0.1358  6 O 1.95-2.08
O 0.0107 0.0107 0.7304  2 Ti 1.93, 1 Li 2.03, 1 V 2.08
O 0.3318 0.3318 0.9147  3 V 1.95-1.96, 2 Li 2.02
O 0.3408 0.3408 0.3947  1 Ti 1.98, 2 V 2.03, 2 Li 2.19
O 0.6592 0.6592 0.6053  1 Ti 1.98, 2 V 2.03, 2 Li 2.19
O 0.6682 0.6682 0.0853  3 V 1.95-1.96, 2 Li 2.02
O 0.9893 0.9893 0.2696  2 Ti 1.93, 1 Li 2.03, 1 V 2.08

## Properties
The total magnetic moment is 0.9 μB per formula unit.

## x
First-principles (SCAN) data for a PBEsol-optimized structure of Li2TiV2O6, as listed in the Alexandria database.

a b c (Å): 4.9851 4.9851 10.0746
angles (deg): 90.00 90.00 60.56
Last column: nearest neighbours and their distance in Å.
Positions (direct):
Li 0.1483 0.3517 0.2500  4 O 1.98-2.07
Li 0.3517 0.1483 0.7500  4 O 1.98-2.07
Li 0.6483 0.8517 0.2500  4 O 1.98-2.07
Li 0.8517 0.6483 0.7500  4 O 1.98-2.07
Ti 0.0000 0.0000 0.0000  6 O 1.98-2.00
Ti 0.5000 0.5000 0.5000  6 O 1.98-2.00
V 0.1571 0.1571 0.5000  6 O 1.94-2.02
V 0.3429 0.3429 0.0000  6 O 1.94-2.02
V 0.6571 0.6571 0.0000  6 O 1.94-2.02
V 0.8429 0.8429 0.5000  6 O 1.94-2.02
O 0.0084 0.3332 0.8924  2 Li 1.98-2.07, 1 Ti 2.00, 2 V 2.01-2.02
O 0.1668 0.4916 0.6076  2 Li 1.98-2.07, 1 Ti 2.00, 2 V 2.01-2.02
O 0.1705 0.8295 0.3920  2 V 1.94, 1 Ti 1.98
O 0.3295 0.6705 0.8920  2 V 1.94, 1 Ti 1.98
O 0.3332 0.0084 0.1076  2 Li 1.98-2.07, 1 Ti 2.00, 2 V 2.01-2.02
O 0.4916 0.1668 0.3924  2 Li 1.98-2.07, 1 Ti 2.00, 2 V 2.01-2.02
O 0.5084 0.8332 0.6076  2 Li 1.98-2.07, 1 Ti 2.00, 2 V 2.01-2.02
O 0.6668 0.9916 0.8924  2 Li 1.98-2.07, 1 Ti 2.00, 2 V 2.01-2.02
O 0.6705 0.3295 0.1080  2 V 1.94, 1 Ti 1.98
O 0.8295 0.1705 0.6080  2 V 1.94, 1 Ti 1.98
O 0.8332 0.5084 0.3924  2 Li 1.98-2.07, 1 Ti 2.00, 2 V 2.01-2.02
O 0.9916 0.6668 0.1076  2 Li 1.98-2.07, 1 Ti 2.00, 2 V 2.01-2.02

## Properties
The total magnetic moment is 4.0 μB per formula unit.

Short version: x is the most stable of them.

## w
First-principles (SCAN) data for a PBEsol-optimized structure of LiTiVO4, as listed in the Alexandria database.

a b c (Å): 5.8104 5.8104 5.8104
angles (deg): 120.32 119.45 90.20
Last column: nearest neighbours and their distance in Å.
Positions (direct):
Li 0.0000 0.0000 0.0000  6 O 2.12
Li 0.5000 0.0000 0.5000  6 O 2.12
Ti 0.0000 0.5000 0.5000  6 O 1.99-2.00
Ti 0.5000 0.5000 0.0000  6 O 1.99-2.00
V 0.5000 0.0000 0.0000  6 O 1.95-1.98
V 0.5000 0.5000 0.5000  6 O 1.95-1.98
O 0.2591 0.2742 0.5152  1 V 1.98, 2 Ti 2.00, 2 Li 2.12
O 0.2591 0.7439 0.9848  1 V 1.98, 2 Ti 2.00, 2 Li 2.12
O 0.2695 0.7417 0.5278  2 V 1.95, 1 Ti 1.99, 1 Li 2.12
O 0.2861 0.2583 0.0278  2 V 1.95, 1 Ti 1.99, 1 Li 2.12
O 0.7139 0.7417 0.9722  2 V 1.95, 1 Ti 1.99, 1 Li 2.12
O 0.7305 0.2583 0.4722  2 V 1.95, 1 Ti 1.99, 1 Li 2.12
O 0.7409 0.2561 0.0152  1 V 1.98, 2 Ti 2.00, 2 Li 2.12
O 0.7409 0.7258 0.4848  1 V 1.98, 2 Ti 2.00, 2 Li 2.12

## Properties
The total magnetic moment is 1.8 μB per formula unit.

## x
First-principles (SCAN) data for a PBEsol-optimized structure of LiTiVO4, as listed in the Alexandria database.

a b c (Å): 5.1559 5.8188 7.6412
angles (deg): 100.89 107.22 90.05
Last column: nearest neighbours and their distance in Å.
Positions (direct):
Li 0.0000 0.0000 0.0000  4 O 2.02-2.14
Li 0.0011 0.7833 0.3251  6 O 2.07-2.23
Li 0.9844 0.5955 0.6585  4 O 1.99-2.14
Ti 0.4871 0.8806 0.6639  6 O 1.93-2.04
Ti 0.4920 0.7062 0.0001  6 O 1.94-2.02
Ti 0.5247 0.0624 0.3401  6 O 1.90-2.08
V 0.4792 0.5388 0.3176  6 O 1.94-2.02
V 0.4952 0.3727 0.6706  6 O 1.94-2.05
V 0.4984 0.2304 0.9965  6 O 1.95-2.07
O 0.2724 0.4308 0.8379  2 V 1.94-1.97, 1 Ti 1.95, 1 Li 2.07
O 0.2770 0.5926 0.5097  1 Ti 1.97, 2 V 2.02-2.05, 2 Li 2.14-2.16
O 0.2783 0.7713 0.1755  2 Ti 1.96-2.08, 1 V 1.99, 1 Li 2.07
O 0.2819 0.9243 0.8424  2 Ti 1.94-2.01, 1 V 2.06, 1 Li 2.14
O 0.2851 0.2474 0.1702  2 V 1.94-1.95, 1 Ti 1.99, 1 Li 2.02
O 0.2902 0.0807 0.5020  2 Ti 1.93-1.96, 1 V 2.01
O 0.7057 0.3490 0.4909  1 Ti 1.90, 2 V 1.97-1.99, 1 Li 1.99
O 0.7092 0.8260 0.4806  2 Ti 1.98-2.04, 1 V 2.02, 1 Li 2.17
O 0.7097 0.6730 0.8178  2 Ti 1.97-2.02, 1 V 2.01, 1 Li 2.12
O 0.7108 0.1624 0.8225  2 V 1.95-1.96, 1 Ti 1.98, 1 Li 2.06
O 0.7162 0.5108 0.1568  1 Ti 1.94, 2 V 1.96, 1 Li 2.11
O 0.7160 0.9994 0.1508  2 Ti 1.96-2.01, 1 V 2.07, 1 Li 2.11

## Properties
The total magnetic moment is 2.0 μB per formula unit.

Short version: x is the most stable of them.

## w
First-principles (SCAN) data for a PBEsol-optimized structure of LiTlO2, as listed in the Alexandria database.

a b c (Å): 5.5944 5.5944 5.5944
angles (deg): 131.86 131.86 70.45
Last column: nearest neighbours and their distance in Å.
Positions (direct):
Li 0.3750 0.6250 0.7500  6 O 2.28-2.33
Li 0.6250 0.3750 0.2500  6 O 2.28-2.33
Tl 0.1250 0.8750 0.2500  6 O 2.24-2.28
Tl 0.8750 0.1250 0.7500  6 O 2.24-2.28
O 0.1206 0.3706 0.7500  3 Tl 2.24-2.28, 3 Li 2.28-2.33
O 0.3706 0.1206 0.2500  3 Tl 2.24-2.28, 3 Li 2.28-2.33
O 0.6294 0.8794 0.7500  3 Tl 2.24-2.28, 3 Li 2.28-2.33
O 0.8794 0.6294 0.2500  3 Tl 2.24-2.28, 3 Li 2.28-2.33

## Properties
The total magnetic moment is 0.0 μB per formula unit.

## x
First-principles (SCAN) data for a PBEsol-optimized structure of LiTlO2, as listed in the Alexandria database.

a b c (Å): 3.3166 3.3166 4.2705
angles (deg): 90.00 90.00 90.00
Last column: nearest neighbours and their distance in Å.
Positions (direct):
Li 0.0000 0.0000 0.0000  6 O 2.14-2.35
Tl 0.5000 0.5000 0.5000  6 O 2.14-2.35
O 0.0000 0.0000 0.5000  2 Li 2.14, 4 Tl 2.35
O 0.5000 0.5000 0.0000  2 Tl 2.14, 4 Li 2.35

## Properties
The total magnetic moment is 0.0 μB per formula unit.

## y
First-principles (SCAN) data for a PBEsol-optimized structure of LiTlO2, as listed in the Alexandria database.

a b c (Å): 5.9726 5.9726 5.9726
angles (deg): 133.81 133.81 67.38
Last column: nearest neighbours and their distance in Å.
Positions (direct):
Li 0.0000 0.0000 0.0000  4 O 1.99
Li 0.7500 0.2500 0.5000  4 O 1.99
Tl 0.2500 0.7500 0.5000  4 O 2.16
Tl 0.5000 0.5000 0.0000  4 O 2.16
O 0.0918 0.6250 0.9668  2 Li 1.99, 2 Tl 2.16
O 0.3750 0.3418 0.4668  2 Li 1.99, 2 Tl 2.16
O 0.6582 0.1250 0.0332  2 Li 1.99, 2 Tl 2.16
O 0.8750 0.9082 0.5332  2 Li 1.99, 2 Tl 2.16

## Properties
The total magnetic moment is 0.0 μB per formula unit.

Short version: y is the most stable of them.

## w
First-principles (SCAN) data for a PBEsol-optimized structure of LiV2O4, as listed in the Alexandria database.

a b c (Å): 4.9598 5.7092 5.2399
angles (deg): 90.00 93.41 90.00
Last column: nearest neighbours and their distance in Å.
Positions (direct):
Li 0.2137 0.2500 0.4451  3 O 1.89-2.02
Li 0.7863 0.7500 0.5549  3 O 1.89-2.02
V 0.0000 0.0000 0.0000  6 O 1.94-1.97
V 0.0000 0.5000 0.0000  6 O 1.94-1.97
V 0.4856 0.7500 0.0097  6 O 1.94-1.99
V 0.5144 0.2500 0.9903  6 O 1.94-1.99
O 0.1444 0.7500 0.7968  3 V 1.94-1.97, 1 Li 2.12
O 0.1608 0.2500 0.7997  1 Li 1.89, 3 V 1.97
O 0.3452 0.0079 0.2014  3 V 1.94-1.99, 1 Li 2.02
O 0.3452 0.4921 0.2014  3 V 1.94-1.99, 1 Li 2.02
O 0.6548 0.5079 0.7986  3 V 1.94-1.99, 1 Li 2.02
O 0.6548 0.9921 0.7986  3 V 1.94-1.99, 1 Li 2.02
O 0.8392 0.7500 0.2003  1 Li 1.89, 3 V 1.97
O 0.8556 0.2500 0.2032  3 V 1.94-1.97, 1 Li 2.12

## Properties
The total magnetic moment is 3.0 μB per formula unit.

## x
First-principles (SCAN) data for a PBEsol-optimized structure of LiV2O4, as listed in the Alexandria database.

a b c (Å): 5.7596 5.7596 5.7596
angles (deg): 60.00 60.00 60.00
Last column: nearest neighbours and their distance in Å.
Positions (direct):
Li 0.1250 0.1250 0.1250  4 O 1.90
Li 0.8750 0.8750 0.8750  4 O 1.90
V 0.0000 0.5000 0.5000  6 O 1.96
V 0.5000 0.0000 0.5000  6 O 1.96
V 0.5000 0.5000 0.0000  6 O 1.96
V 0.5000 0.5000 0.5000  6 O 1.96
O 0.2596 0.2596 0.2596  1 Li 1.90, 3 V 1.96
O 0.2596 0.2596 0.7211  1 Li 1.90, 3 V 1.96
O 0.2596 0.7211 0.2596  1 Li 1.90, 3 V 1.96
O 0.2789 0.7404 0.7404  1 Li 1.90, 3 V 1.96
O 0.7211 0.2596 0.2596  1 Li 1.90, 3 V 1.96
O 0.7404 0.2789 0.7404  1 Li 1.90, 3 V 1.96
O 0.7404 0.7404 0.2789  1 Li 1.90, 3 V 1.96
O 0.7404 0.7404 0.7404  1 Li 1.90, 3 V 1.96

## Properties
The total magnetic moment is 3.0 μB per formula unit.

## y
First-principles (SCAN) data for a PBEsol-optimized structure of LiV2O4, as listed in the Alexandria database.

a b c (Å): 4.8449 2.8121 5.2466
angles (deg): 90.00 108.65 90.00
Last column: nearest neighbours and their distance in Å.
Positions (direct):
Li 0.0000 0.0000 0.0000  6 O 2.10-2.16
V 0.0000 0.5000 0.5000  6 O 1.93-1.95
V 0.5000 0.0000 0.5000  6 O 1.95-1.98
O 0.2371 0.0000 0.7151  3 V 1.93-1.95, 1 Li 2.16
O 0.2509 0.5000 0.2741  3 V 1.95-1.98, 2 Li 2.10
O 0.7491 0.5000 0.7259  3 V 1.95-1.98, 2 Li 2.10
O 0.7629 0.0000 0.2849  3 V 1.93-1.95, 1 Li 2.16

## Properties
The total magnetic moment is 3.0 μB per formula unit.

Short version: x is the most stable of them.

## w
First-principles (SCAN) data for a PBEsol-optimized structure of Li4V3O8, as listed in the Alexandria database.

a b c (Å): 6.0671 5.5537 9.6621
angles (deg): 90.00 122.01 90.00
Last column: nearest neighbours and their distance in Å.
Positions (direct):
Li 0.0000 0.0000 0.0000  6 O 2.12-2.17
Li 0.0000 0.5000 0.5000  6 O 2.12-2.17
Li 0.0742 0.0148 0.3578  4 O 1.84-2.00
Li 0.0742 0.4852 0.8578  4 O 1.84-2.00
Li 0.5000 0.0000 0.5000  6 O 1.97-2.00, 2 Li 2.19
Li 0.5000 0.5000 0.0000  6 O 1.97-2.00, 2 Li 2.19
Li 0.9258 0.5148 0.1422  4 O 1.84-2.00
Li 0.9258 0.9852 0.6422  4 O 1.84-2.00
V 0.4945 0.7393 0.7356  6 O 1.83-2.03
V 0.4945 0.7607 0.2356  6 O 1.83-2.03
V 0.5000 0.0000 0.0000  6 O 1.84-1.99
V 0.5000 0.5000 0.5000  6 O 1.84-1.99
V 0.5055 0.2393 0.7644  6 O 1.83-2.03
V 0.5055 0.2607 0.2644  6 O 1.83-2.03
O 0.2766 0.7480 0.5140  2 V 1.83-1.99, 2 Li 2.00
O 0.2766 0.7520 0.0140  2 V 1.83-1.99, 2 Li 2.00
O 0.2837 0.5090 0.2607  1 Li 1.84, 3 V 1.91-1.99
O 0.2837 0.9910 0.7607  1 Li 1.84, 3 V 1.91-1.99
O 0.2904 0.0089 0.2574  2 V 1.89-1.94, 2 Li 1.99-2.00
O 0.2904 0.4911 0.7574  2 V 1.89-1.94, 2 Li 1.99-2.00
O 0.2997 0.2339 0.0169  2 V 1.84-2.03, 2 Li 1.97-1.99
O 0.2997 0.2661 0.5169  2 V 1.84-2.03, 2 Li 1.97-1.99
O 0.7003 0.7339 0.4831  2 V 1.84-2.03, 2 Li 1.97-1.99
O 0.7003 0.7661 0.9831  2 V 1.84-2.03, 2 Li 1.97-1.99
O 0.7096 0.5089 0.2426  2 V 1.89-1.94, 2 Li 1.99-2.00
O 0.7096 0.9911 0.7426  2 V 1.89-1.94, 2 Li 1.99-2.00
O 0.7163 0.0090 0.2393  1 Li 1.84, 3 V 1.91-1.99
O 0.7163 0.4910 0.7393  1 Li 1.84, 3 V 1.91-1.99
O 0.7234 0.2480 0.9860  2 V 1.83-1.99, 2 Li 2.00
O 0.7234 0.2520 0.4860  2 V 1.83-1.99, 2 Li 2.00

## Properties
The total magnetic moment is 1.0 μB per formula unit.

## x
First-principles (SCAN) data for a PBEsol-optimized structure of Li4V3O8, as listed in the Alexandria database.

a b c (Å): 5.7948 5.7948 5.7948
angles (deg): 57.26 57.26 57.26
Last column: nearest neighbours and their distance in Å.
Positions (direct):
Li 0.0000 0.0000 0.0000  6 O 1.96
Li 0.0000 0.0000 0.5000  6 O 2.03-2.12
Li 0.0000 0.5000 0.0000  6 O 2.03-2.12
Li 0.5000 0.0000 0.0000  6 O 2.03-2.12
V 0.0000 0.5000 0.5000  6 O 1.90-1.99
V 0.5000 0.0000 0.5000  6 O 1.90-1.99
V 0.5000 0.5000 0.0000  6 O 1.90-1.99
O 0.2451 0.2451 0.7296  2 V 1.90, 3 Li 1.96-2.12
O 0.2451 0.7296 0.2451  2 V 1.90, 3 Li 1.96-2.12
O 0.2522 0.2522 0.2522  3 V 1.99, 3 Li 2.03
O 0.2704 0.7549 0.7549  2 V 1.90, 3 Li 1.96-2.12
O 0.7296 0.2451 0.2451  2 V 1.90, 3 Li 1.96-2.12
O 0.7478 0.7478 0.7478  3 V 1.99, 3 Li 2.03
O 0.7549 0.2704 0.7549  2 V 1.90, 3 Li 1.96-2.12
O 0.7549 0.7549 0.2704  2 V 1.90, 3 Li 1.96-2.12

## Properties
The total magnetic moment is 0.0 μB per formula unit.

Short version: w is the most stable of them.

## w
First-principles (SCAN) data for a PBEsol-optimized structure of Li4V3O8, as listed in the Alexandria database.

a b c (Å): 6.0560 6.0560 6.0560
angles (deg): 54.72 54.72 54.72
Last column: nearest neighbours and their distance in Å.
Positions (direct):
Li 0.0000 0.0000 0.0000  6 O 1.99, 2 Li 2.18
Li 0.1419 0.1419 0.1419  4 O 1.85-2.00
Li 0.5000 0.5000 0.5000  6 O 2.14
Li 0.8581 0.8581 0.8581  4 O 1.85-2.00
V 0.0000 0.5000 0.5000  6 O 1.91-1.95
V 0.5000 0.0000 0.5000  6 O 1.91-1.95
V 0.5000 0.5000 0.0000  6 O 1.91-1.95
O 0.2435 0.2435 0.7246  2 V 1.91, 3 Li 1.99-2.14
O 0.2435 0.7246 0.2435  2 V 1.91, 3 Li 1.99-2.14
O 0.2618 0.2618 0.2618  1 Li 1.85, 3 V 1.95
O 0.2754 0.7565 0.7565  2 V 1.91, 3 Li 1.99-2.14
O 0.7246 0.2435 0.2435  2 V 1.91, 3 Li 1.99-2.14
O 0.7382 0.7382 0.7382  1 Li 1.85, 3 V 1.95
O 0.7565 0.2754 0.7565  2 V 1.91, 3 Li 1.99-2.14
O 0.7565 0.7565 0.2754  2 V 1.91, 3 Li 1.99-2.14

## Properties
The total magnetic moment is 3.0 μB per formula unit.

## x
First-principles (SCAN) data for a PBEsol-optimized structure of Li4V3O8, as listed in the Alexandria database.

a b c (Å): 6.0578 5.6223 9.7418
angles (deg): 90.00 122.53 90.00
Last column: nearest neighbours and their distance in Å.
Positions (direct):
Li 0.0000 0.2500 0.0000  6 O 2.12-2.19
Li 0.0000 0.7500 0.5000  6 O 2.12-2.19
Li 0.0523 0.2499 0.3540  4 O 1.88-2.07
Li 0.0523 0.7501 0.8540  4 O 1.88-2.07
Li 0.4841 0.2500 0.4966  6 O 1.95-2.05, 1 Li 2.14
Li 0.4841 0.7500 0.9966  6 O 1.95-2.05, 1 Li 2.14
Li 0.9037 0.2498 0.6394  4 O 1.81-1.98
Li 0.9037 0.7502 0.1394  4 O 1.81-1.98
V 0.4782 0.0099 0.7452  6 O 1.87-1.98
V 0.4782 0.9901 0.2452  6 O 1.87-1.98
V 0.4795 0.4890 0.7452  6 O 1.87-1.98
V 0.4795 0.5110 0.2452  6 O 1.87-1.98
V 0.4993 0.2501 0.9912  6 O 1.86-1.99
V 0.4993 0.7499 0.4912  6 O 1.86-1.99
O 0.2588 0.2501 0.7566  1 Li 1.81, 3 V 1.94
O 0.2588 0.7499 0.2566  1 Li 1.81, 3 V 1.94
O 0.2841 0.0105 0.0179  2 V 1.87-1.99, 2 Li 1.98-2.06
O 0.2840 0.4894 0.0180  2 V 1.87-1.99, 2 Li 1.98-2.06
O 0.2840 0.5106 0.5180  2 V 1.87-1.99, 2 Li 1.98-2.06
O 0.2841 0.9895 0.5179  2 V 1.87-1.99, 2 Li 1.98-2.06
O 0.2861 0.2498 0.2588  2 V 1.92-1.93, 2 Li 1.95-2.07
O 0.2861 0.7502 0.7588  2 V 1.92-1.93, 2 Li 1.95-2.07
O 0.6834 0.2501 0.2290  1 Li 1.88, 3 V 1.96-1.98
O 0.6834 0.7499 0.7290  1 Li 1.88, 3 V 1.96-1.98
O 0.7029 0.0092 0.9846  2 V 1.86-1.97, 2 Li 1.98-2.02
O 0.7031 0.2500 0.7456  2 V 1.91-1.92, 2 Li 1.98-2.05
O 0.7027 0.4911 0.9846  2 V 1.86-1.97, 2 Li 1.98-2.01
O 0.7027 0.5089 0.4846  2 V 1.86-1.97, 2 Li 1.98-2.01
O 0.7031 0.7500 0.2456  2 V 1.91-1.92, 2 Li 1.98-2.05
O 0.7029 0.9908 0.4846  2 V 1.86-1.97, 2 Li 1.98-2.02

## Properties
The total magnetic moment is 3.0 μB per formula unit.

Short version: x is the most stable of them.